{
  "formula": "Ta2CrIn",
  "functional": "PBE-GGA",
  "state": "relaxed",
  "formation_enthalpy_0k_ev_per_atom": 0.3784,
  "space_group": "R3m, No. 160",
  "dos_ef_per_ev_atom": 1.138,
  "mass_density_g_cm3": 11.887,
  "lattice_angstrom": [[1.519, 0.877, 9.245], [-1.519, 0.877, 9.245], [0.000, -1.754, 9.245]],
  "species": ["Ta", "Ta", "Cr", "In"],
  "frac_coords": [[0.000, 0.000, 0.000], [0.248, 0.248, 0.248], [0.740, 0.740, 0.740], [0.490, 0.490, 0.490]]
}